A geometry-optimized SrSeBr3 structure. Source: Alexandria via LeMat-Bulk, functional GGA-PBE.

The structure in CIF format:
```
data_SrSeBr3
_space_group_name_H-M_alt 'P m -3 m'
_space_group_IT_number 221
_space_group_name_Hall '-P 4 2 3'
_cell_length_a 5.9715
_cell_length_b 5.9715
_cell_length_c 5.9715
_cell_angle_alpha 90.00
_cell_angle_beta 90.00
_cell_angle_gamma 90.00
loop_
_atom_site_label
_atom_site_type_symbol
_atom_site_fract_x
_atom_site_fract_y
_atom_site_fract_z
Sr1 Sr 0.0000 0.0000 0.0000
Se1 Se 0.5000 0.5000 0.5000
Br1 Br 0.0000 0.0000 0.5000
```

Computed properties:
Spin magnetization ... 0.600 μB/atom
V ... 42.587 Å³/atom
Total energy ... -2.731 eV/atom
Formation energy without anion corrections ... -0.6942 eV per atom

---

A geometry-optimized Sr2Se2Br structure. Source: Alexandria via LeMat-Bulk, functional GGA-PBE.

The structure in CIF format:
```
data_Sr2Se2Br
_space_group_name_H-M_alt 'P 4/m b m'
_space_group_IT_number 127
_space_group_name_Hall '-P 4 2ab'
_cell_length_a 8.4320
_cell_length_b 8.4320
_cell_length_c 4.2348
_cell_angle_alpha 90.00
_cell_angle_beta 90.00
_cell_angle_gamma 90.00
loop_
_atom_site_label
_atom_site_type_symbol
_atom_site_fract_x
_atom_site_fract_y
_atom_site_fract_z
Sr1 Sr 0.1715 0.3285 0.0000
Se1 Se 0.1218 0.6218 0.5000
Br1 Br 0.0000 0.0000 0.0000
```

Computed properties:
Spin magnetization ... 0.200 μB/atom
V ... 30.109 Å³/atom
Total energy ... -4.083 eV/atom
Formation energy without anion corrections ... -1.6820 eV per atom

---

A geometry-optimized Sr5Se4Br structure. Source: Alexandria via LeMat-Bulk, functional GGA-PBE.

The structure in CIF format:
```
data_Sr5Se4Br
_space_group_name_H-M_alt 'I m m m'
_space_group_IT_number 71
_space_group_name_Hall '-I 2 2'
_cell_length_a 4.4560
_cell_length_b 6.2732
_cell_length_c 22.2593
_cell_angle_alpha 90.00
_cell_angle_beta 90.00
_cell_angle_gamma 90.00
loop_
_atom_site_label
_atom_site_type_symbol
_atom_site_fract_x
_atom_site_fract_y
_atom_site_fract_z
Sr1 Sr 0.0000 0.0000 0.0000
Sr2 Sr 0.0000 0.0000 0.1991
Sr3 Sr 0.0000 0.0000 0.3916
Se1 Se 0.0000 0.5000 0.2010
Se2 Se 0.0000 0.5000 0.4022
Br1 Br 0.0000 0.5000 0.0000
```

Computed properties:
Spin magnetization ... 0.000 μB/atom
V ... 31.111 Å³/atom
Total energy ... -4.344 eV/atom
Formation energy without anion corrections ... -1.9421 eV per atom

---

A geometry-optimized SrSe2Br structure. Source: Alexandria via LeMat-Bulk, functional GGA-PBE.

The structure in CIF format:
```
data_SrSe2Br
_space_group_name_H-M_alt 'C 1 2/m 1'
_space_group_IT_number 12
_cell_length_a 5.7459
_cell_length_b 9.2053
_cell_length_c 5.4173
_cell_angle_alpha 90.00
_cell_angle_beta 121.73
_cell_angle_gamma 90.00
loop_
_space_group_symop_operation_xyz
'x,y,z'
'-x,-y,-z'
'-x,y,-z'
'x,-y,z'
'x+1/2,y+1/2,z'
'-x+1/2,-y+1/2,-z'
'-x+1/2,y+1/2,-z'
'x+1/2,-y+1/2,z'
loop_
_atom_site_label
_atom_site_type_symbol
_atom_site_fract_x
_atom_site_fract_y
_atom_site_fract_z
Sr1 Sr 0.0000 0.0000 0.0000
Se1 Se 0.2500 0.2500 0.5000
Br1 Br 0.0000 0.5000 0.0000
```

Computed properties:
Spin magnetization ... 0.000 μB/atom
V ... 30.464 Å³/atom
Total energy ... -3.448 eV/atom
Formation energy without anion corrections ... -0.8668 eV per atom

---

A geometry-optimized Sr4SeBr structure. Source: Alexandria via LeMat-Bulk, functional GGA-PBE.

The structure in CIF format:
```
data_Sr4SeBr
_space_group_name_H-M_alt 'F -4 3 m'
_space_group_IT_number 216
_space_group_name_Hall 'F -4 2 3'
_cell_length_a 10.2570
_cell_length_b 10.2570
_cell_length_c 10.2570
_cell_angle_alpha 90.00
_cell_angle_beta 90.00
_cell_angle_gamma 90.00
loop_
_atom_site_label
_atom_site_type_symbol
_atom_site_fract_x
_atom_site_fract_y
_atom_site_fract_z
Sr1 Sr 0.1243 0.1243 0.3757
Se1 Se 0.2500 0.2500 0.7500
Br1 Br 0.0000 0.0000 0.0000
```

Computed properties:
Spin magnetization ... 0.000 μB/atom
V ... 44.962 Å³/atom
Total energy ... -2.125 eV/atom
Formation energy without anion corrections ... -0.1445 eV per atom

---

A geometry-optimized SrSe2Br structure. Source: Alexandria via LeMat-Bulk, functional GGA-PBE.

The structure in CIF format:
```
data_SrSe2Br
_space_group_name_H-M_alt 'F -4 3 m'
_space_group_IT_number 216
_space_group_name_Hall 'F -4 2 3'
_cell_length_a 7.6016
_cell_length_b 7.6016
_cell_length_c 7.6016
_cell_angle_alpha 90.00
_cell_angle_beta 90.00
_cell_angle_gamma 90.00
loop_
_atom_site_label
_atom_site_type_symbol
_atom_site_fract_x
_atom_site_fract_y
_atom_site_fract_z
Sr1 Sr 0.0000 0.0000 0.0000
Se1 Se 0.0000 0.0000 0.5000
Se2 Se 0.2500 0.2500 0.7500
Br1 Br 0.2500 0.2500 0.2500
```

Computed properties:
Spin magnetization ... 0.498 μB/atom
V ... 27.453 Å³/atom
Total energy ... -3.242 eV/atom
Formation energy without anion corrections ... -0.6609 eV per atom

---

What is the spin magnetization in the first record? 0.600 μB/atom

---

Repeat the third record exactly.
A geometry-optimized Sr5Se4Br structure. Source: Alexandria via LeMat-Bulk, functional GGA-PBE.

The structure in CIF format:
```
data_Sr5Se4Br
_space_group_name_H-M_alt 'I m m m'
_space_group_IT_number 71
_space_group_name_Hall '-I 2 2'
_cell_length_a 4.4560
_cell_length_b 6.2732
_cell_length_c 22.2593
_cell_angle_alpha 90.00
_cell_angle_beta 90.00
_cell_angle_gamma 90.00
loop_
_atom_site_label
_atom_site_type_symbol
_atom_site_fract_x
_atom_site_fract_y
_atom_site_fract_z
Sr1 Sr 0.0000 0.0000 0.0000
Sr2 Sr 0.0000 0.0000 0.1991
Sr3 Sr 0.0000 0.0000 0.3916
Se1 Se 0.0000 0.5000 0.2010
Se2 Se 0.0000 0.5000 0.4022
Br1 Br 0.0000 0.5000 0.0000
```

Computed properties:
Spin magnetization ... 0.000 μB/atom
V ... 31.111 Å³/atom
Total energy ... -4.344 eV/atom
Formation energy without anion corrections ... -1.9421 eV per atom

---

Please write out number 3 again, unchanged.
A geometry-optimized Sr5Se4Br structure. Source: Alexandria via LeMat-Bulk, functional GGA-PBE.

The structure in CIF format:
```
data_Sr5Se4Br
_space_group_name_H-M_alt 'I m m m'
_space_group_IT_number 71
_space_group_name_Hall '-I 2 2'
_cell_length_a 4.4560
_cell_length_b 6.2732
_cell_length_c 22.2593
_cell_angle_alpha 90.00
_cell_angle_beta 90.00
_cell_angle_gamma 90.00
loop_
_atom_site_label
_atom_site_type_symbol
_atom_site_fract_x
_atom_site_fract_y
_atom_site_fract_z
Sr1 Sr 0.0000 0.0000 0.0000
Sr2 Sr 0.0000 0.0000 0.1991
Sr3 Sr 0.0000 0.0000 0.3916
Se1 Se 0.0000 0.5000 0.2010
Se2 Se 0.0000 0.5000 0.4022
Br1 Br 0.0000 0.5000 0.0000
```

Computed properties:
Spin magnetization ... 0.000 μB/atom
V ... 31.111 Å³/atom
Total energy ... -4.344 eV/atom
Formation energy without anion corrections ... -1.9421 eV per atom

---

What is the spin magnetization in the first record? 0.600 μB/atom